The following is a DFT calculation (PBE+U) of a relaxed structure of Mg6NbNiO8.

Cell: 4.2473 4.2473 9.0953 Å, 90.00 90.00 90.00°
Space group P4/mmm (No. 123)
Symmetry-distinct sites (fractional):
Mg: 0.0000 0.0000 0.0000 [1 per cell]
Mg: 0.0000 0.0000 0.5000 [1 per cell]
Mg: 0.0000 0.5000 0.2297 [4 per cell]
Nb: 0.5000 0.5000 0.5000 [1 per cell]
Ni: 0.5000 0.5000 0.0000 [1 per cell]
O: 0.0000 0.0000 0.2493 [2 per cell]
O: 0.0000 0.5000 0.0000 [2 per cell]
O: 0.0000 0.5000 0.5000 [2 per cell]
O: 0.5000 0.5000 0.2651 [2 per cell]

## Properties
Crystal system: tetragonal
Raw total energy (eV/atom): -6.103
Total magnetic moment (μB/atom): 0.149